BiMo3F after structural relaxation. Source: Alexandria, functional PBE with a Hubbard U.

Calculated values
energy relative to the lowest polymorph listed for this composition	0.126	eV per atom
SG	Pm-3m

Cell lengths 5.7163, 5.7163, 5.7163 Å; angles 90.00, 90.00, 90.00 degrees
Closest atoms and distances in Å follow each position.
Sites, in units of the cell vectors:
Mo  0.0000  0.5000  0.0000  2 Bi 2.86
Mo  0.0000  0.0000  0.5000  2 Bi 2.86
Mo  0.5000  0.0000  0.0000  2 Bi 2.86
Bi  0.0000  0.0000  0.0000  6 Mo 2.86
F  0.5000  0.5000  0.5000  12 Mo 4.04